An optimized crystal structure of La2ErMg3Tl2In, computed with PBE. Values from VASP.

Structure (Quantum ESPRESSO input):
```
&SYSTEM
  ibrav = 0, nat = 9, ntyp = 5
/
ATOMIC_SPECIES
Er 167.26 Er.upf
In 114.82 In.upf
La 138.91 La.upf
Mg 24.30 Mg.upf
Tl 204.38 Tl.upf
CELL_PARAMETERS angstrom
4.7799 0.0000 0.0000
0.0000 6.6048 3.8935
0.0000 -6.6048 3.8935
ATOMIC_POSITIONS angstrom
Er 0.0000 0.0000 4.4721
In 0.0000 0.0000 7.7086
La 0.0000 2.8482 1.6905
La 0.0000 -2.8482 1.6905
Mg 2.3900 0.0000 1.8587
Mg 2.3900 1.5886 6.8478
Mg 2.3900 -1.5886 6.8478
Tl 2.3900 2.1170 3.9094
Tl 2.3900 -2.1170 3.9094
```

An optimized crystal structure of LiErIn, computed with PBE. Values from VASP.

Structure (Quantum ESPRESSO input):
```
&SYSTEM
  ibrav = 0, nat = 3, ntyp = 3
/
ATOMIC_SPECIES
Er 167.26 Er.upf
In 114.82 In.upf
Li 6.94 Li.upf
CELL_PARAMETERS angstrom
0.0000 3.2999 3.2999
3.2999 0.0000 3.2999
3.2999 3.2999 0.0000
ATOMIC_POSITIONS angstrom
Er 3.2999 3.2999 3.2999
In 0.0000 0.0000 0.0000
Li 1.6500 1.6500 1.6500
```

An optimized crystal structure of LiErIn2, computed with PBE. Values from VASP.

Structure (Quantum ESPRESSO input):
```
&SYSTEM
  ibrav = 0, nat = 4, ntyp = 3
/
ATOMIC_SPECIES
Er 167.26 Er.upf
In 114.82 In.upf
Li 6.94 Li.upf
CELL_PARAMETERS angstrom
-2.7459 -3.3197 -2.4455
-1.8562 -1.6283 4.2946
-2.8441 2.5468 -0.2637
ATOMIC_POSITIONS angstrom
Er -3.7231 -1.2006 0.7927
In -1.3730 -1.6598 -1.2227
In -0.9281 -0.8141 2.1473
Li -1.4221 1.2734 -0.1318
```

no.,E_tot (hartree per atom)
1,-0.12203
2,-0.11477
3,-0.12396